[1]
Entry from Alexandria: a relaxed TiZn3N crystal (GGA-PBE).

Cell: 4.174 4.174 4.174 Å, 90.00 90.00 90.00°
Space group Pm-3m (No. 221)
Asymmetric unit:
Ti 0.000 0.000 0.000 (multiplicity 1)
Zn 0.000 0.500 0.500 (multiplicity 3)
N 0.500 0.500 0.500 (multiplicity 1)

Summary:
Magnetic moment in Bohr magnetons per cell: 0.00
ΔE_f (raw) in meV per atom: 556

***

[2]
Entry from Alexandria: a relaxed ZrAlNi crystal (GGA-PBE).

Cell: 3.948 11.774 4.851 Å, 90.00 90.00 90.00°
Space group Pmmn (No. 59, origin choice 2)
Asymmetric unit:
Zr 0.250 0.104 0.143 (multiplicity 4)
Al 0.250 0.642 0.331 (multiplicity 4)
Ni 0.250 0.016 0.657 (multiplicity 4)

Summary:
Magnetic moment in Bohr magnetons per cell: 0.00
Calculated formation energy in eV per formula unit: -0.62

***

[3]
Entry from Alexandria: a relaxed SbAsPt2 crystal (GGA-PBE).

Cell: 6.630 6.446 3.443 Å, 90.00 90.48 90.00°
Space group C2/m (No. 12)
Asymmetric unit:
Sb 0.000 0.000 0.000 (multiplicity 2)
As 0.000 0.500 0.000 (multiplicity 2)
Pt 0.250 0.250 0.500 (multiplicity 4)

Summary:
Magnetic moment in Bohr magnetons per cell: 0.00
ΔE_f (raw) in meV per atom: -47

***

[4]
Entry from Alexandria: a relaxed Sr2IrW crystal (GGA-PBE).

Cell: 4.149 4.149 10.312 Å, 90.00 90.00 90.00°
Space group I4/mmm (No. 139)
Asymmetric unit:
Sr 0.000 0.500 0.250 (multiplicity 4)
Ir 0.000 0.000 0.000 (multiplicity 2)
W 0.000 0.000 0.500 (multiplicity 2)

Summary:
Magnetic moment in Bohr magnetons per cell: 0.00
Calculated formation energy in eV per formula unit: 4.07

***

[5]
Entry from Alexandria: a relaxed Mg3ZnAu6 crystal (GGA-PBE).

Cell: 7.805 4.735 10.180 Å, 90.00 110.32 90.00°
Space group P2_1/m (No. 11)
Asymmetric unit:
Mg 0.048 0.250 0.384 (multiplicity 2)
Mg 0.142 0.750 0.216 (multiplicity 2)
Mg 0.276 0.250 0.989 (multiplicity 2)
Zn 0.451 0.250 0.583 (multiplicity 2)
Au 0.026 0.750 0.919 (multiplicity 2)
Au 0.152 0.250 0.679 (multiplicity 2)
Au 0.250 0.750 0.512 (multiplicity 2)
Au 0.333 0.750 0.829 (multiplicity 2)
Au 0.363 0.250 0.296 (multiplicity 2)
Au 0.443 0.750 0.135 (multiplicity 2)

Summary:
Magnetic moment in Bohr magnetons per cell: 0.00
Calculated formation energy in eV per formula unit: -4.46

***

[6]
Entry from Alexandria: a relaxed FeOs2Rh crystal (GGA-PBE).

Cell: 2.682 4.075 5.180 Å, 90.00 100.66 90.00°
Space group P2/m (No. 10)
Asymmetric unit:
Fe 0.000 0.000 0.000 (multiplicity 1)
Os 0.384 0.500 0.240 (multiplicity 2)
Rh 0.000 0.000 0.500 (multiplicity 1)

Summary:
Magnetic moment in Bohr magnetons per cell: 2.61
Calculated formation energy in eV per formula unit: 0.96

***

[7]
Entry from Alexandria: a relaxed Be2CdPb crystal (GGA-PBE).

Cell: 4.410 4.410 17.056 Å, 90.00 90.00 90.00°
Space group I4_1/amd (No. 141, origin choice 2)
Asymmetric unit:
Be 0.000 0.000 0.000 (multiplicity 8)
Cd 0.000 0.250 0.875 (multiplicity 4)
Pb 0.000 0.250 0.375 (multiplicity 4)

Summary:
Magnetic moment in Bohr magnetons per cell: 0.00
Calculated formation energy in eV per formula unit: 2.37

***

[8]
Entry from Alexandria: a relaxed TiTl2Sb2Se6 crystal (GGA-PBE).

Cell: 7.007 12.046 8.081 Å, 90.00 107.58 90.00°
Space group C2/m (No. 12)
Asymmetric unit:
Ti 0.000 0.000 0.000 (multiplicity 2)
Tl 0.000 0.171 0.500 (multiplicity 4)
Sb 0.000 0.331 0.000 (multiplicity 4)
Se 0.222 0.153 0.196 (multiplicity 8)
Se 0.235 0.000 0.803 (multiplicity 4)

Summary:
Magnetic moment in Bohr magnetons per cell: 0.00
ΔE_f (raw) in meV per atom: -564